A relaxed TaTlO2F crystal. Source: Alexandria via LeMat-Bulk, functional PBE-GGA.

Properties
Total moment   2.78 μB per formula unit
Formation energy from raw total energies   18.53 kJ/mol of atoms
Calculated volume   80.9 Å³/cell

Unit cell a=4.3591 b=4.3591 c=4.2577 alpha=90.00 beta=90.00 gamma=90.00
Closest atoms and distances in Å follow each position.
Space group P4/mmm (No. 123)
One atom of each set of equivalent atoms:
Ta  0.0000  0.0000  0.0000 (multiplicity 1)  8 O 3.05, 4 F 3.08
Tl  0.5000  0.5000  0.5000 (multiplicity 1)  2 F 2.13, 4 O 2.18
O  0.0000  0.5000  0.5000 (multiplicity 2)  2 Tl 2.18
F  0.5000  0.5000  0.0000 (multiplicity 1)  2 Tl 2.13